This record from the Alexandria database describes crystalline AlGa2I8 at its relaxed geometry. The functional is PBE. Values from VASP.

Calculated values
Fermi-level density of states, states/eV/cell: 5.11
Total moment, μB per formula unit: 0.00
ρ, g cm⁻³: 3.760
VASP energy, eV/cell: -26.68
Space group: P-1, No. 2

The structure in Quantum ESPRESSO input format:
```
&SYSTEM
  ibrav = 0, nat = 11, ntyp = 3
/
ATOMIC_SPECIES
Al 26.98 Al.upf
Ga 69.72 Ga.upf
I 126.90 I.upf
CELL_PARAMETERS angstrom
8.937 -0.599 1.627
1.020 7.490 -0.352
0.636 -2.213 7.996
ATOMIC_POSITIONS crystal
Al 0.000 0.000 0.000
Ga 0.570 0.100 0.094
Ga 0.430 0.900 0.906
I 0.793 0.234 0.909
I 0.266 0.098 0.780
I 0.003 0.287 0.271
I 0.997 0.713 0.729
I 0.734 0.902 0.220
I 0.207 0.766 0.091
I 0.395 0.374 0.358
I 0.605 0.626 0.642
```


This record from the Alexandria database describes crystalline CaAl2PdC at its relaxed geometry. The functional is PBE. Values from VASP.

Calculated values
Fermi-level density of states, states/eV/cell: 2.50
Total moment, μB per formula unit: 0.00
Energy of formation from the pure elements, eV/atom: 0.195
ρ, g cm⁻³: 4.261
Space group: P4/mmm, No. 123

The structure in Quantum ESPRESSO input format:
```
&SYSTEM
  ibrav = 0, nat = 5, ntyp = 4
/
ATOMIC_SPECIES
C 12.01 C.upf
Ca 40.08 Ca.upf
Al 26.98 Al.upf
Pd 106.42 Pd.upf
CELL_PARAMETERS angstrom
4.118 0.000 0.000
0.000 4.881 0.000
0.000 0.000 4.118
ATOMIC_POSITIONS crystal
C 0.000 0.000 0.000
Ca 0.500 0.500 0.500
Al 0.000 0.000 0.500
Al 0.500 0.000 0.000
Pd 0.000 0.500 0.000
```


This record from the Alexandria database describes crystalline CoPdAu3 at its relaxed geometry. The functional is PBE. Values from VASP.

Calculated values
Fermi-level density of states, states/eV/cell: 5.40
Total moment, μB per formula unit: 1.93
Energy of formation from the pure elements, eV/atom: 0.878
ρ, g cm⁻³: 11.952
Relative energy among the computed polymorphs, kcal/mol of atoms: 0.00
Space group: Pm-3m, No. 221

The structure in Quantum ESPRESSO input format:
```
&SYSTEM
  ibrav = 0, nat = 5, ntyp = 3
/
ATOMIC_SPECIES
Co 58.93 Co.upf
Au 196.97 Au.upf
Pd 106.42 Pd.upf
CELL_PARAMETERS angstrom
-3.410 3.025 -1.222
-3.252 -3.289 0.934
-0.253 1.517 4.461
ATOMIC_POSITIONS crystal
Co 0.000 0.000 0.000
Au 0.000 0.500 0.000
Au 0.000 0.000 0.500
Au 0.500 0.000 0.000
Pd 0.500 0.500 0.500
```


This record from the Alexandria database describes crystalline AcSbHPd2 at its relaxed geometry. The functional is PBE. Values from VASP.

Calculated values
Fermi-level density of states, states/eV/cell: 4.02
Total moment, μB per formula unit: 0.00
ρ, g cm⁻³: 9.594
VASP energy, eV/cell: -51.63
Space group: Cmcm, No. 63

The structure in Quantum ESPRESSO input format:
```
&SYSTEM
  ibrav = 0, nat = 10, ntyp = 4
/
ATOMIC_SPECIES
Ac 227.00 Ac.upf
Sb 121.76 Sb.upf
H 1.01 H.upf
Pd 106.42 Pd.upf
CELL_PARAMETERS angstrom
4.471 0.000 0.000
-2.235 5.932 0.000
0.000 0.000 7.344
ATOMIC_POSITIONS crystal
Ac 0.428 0.855 0.750
Ac 0.572 0.145 0.250
Sb 0.713 0.425 0.750
Sb 0.287 0.575 0.250
H 0.000 0.000 0.000
H 0.000 0.000 0.500
Pd 0.148 0.295 0.947
Pd 0.852 0.705 0.053
Pd 0.148 0.295 0.553
Pd 0.852 0.705 0.447
```


This record from the Alexandria database describes crystalline HoMgScNi at its relaxed geometry. The functional is PBE. Values from VASP.

Calculated values
Fermi-level density of states, states/eV/cell: 3.33
Total moment, μB per formula unit: 0.00
Energy of formation from the pure elements, eV/atom: -0.122
ρ, g cm⁻³: 5.885
Relative energy among the computed polymorphs, kcal/mol of atoms: 3.29
Space group: F-43m, No. 216

The structure in Quantum ESPRESSO input format:
```
&SYSTEM
  ibrav = 0, nat = 4, ntyp = 4
/
ATOMIC_SPECIES
Sc 44.96 Sc.upf
Ni 58.69 Ni.upf
Mg 24.30 Mg.upf
Ho 164.93 Ho.upf
CELL_PARAMETERS angstrom
-3.942 -1.671 2.361
-3.474 -2.417 -2.448
-0.583 -4.805 0.689
ATOMIC_POSITIONS crystal
Sc 0.500 0.500 0.500
Ni 0.750 0.750 0.750
Mg 0.250 0.250 0.250
Ho 0.000 0.000 0.000
```


This record from the Alexandria database describes crystalline Tb4TmIn5 at its relaxed geometry. The functional is PBE. Values from VASP.

Calculated values
Fermi-level density of states, states/eV/cell: 6.03
Total moment, μB per formula unit: 0.00
Energy of formation from the pure elements, eV/atom: -0.466
ρ, g cm⁻³: 8.589
Space group: P4/mmm, No. 123

The structure in Quantum ESPRESSO input format:
```
&SYSTEM
  ibrav = 0, nat = 10, ntyp = 3
/
ATOMIC_SPECIES
Tb 158.93 Tb.upf
Tm 168.93 Tm.upf
In 114.82 In.upf
CELL_PARAMETERS angstrom
-2.683 2.608 0.195
-2.469 -2.618 1.046
4.376 3.145 18.204
ATOMIC_POSITIONS crystal
Tb 0.000 0.000 0.197
Tb 0.000 0.000 0.399
Tb 0.000 0.000 0.601
Tb 0.000 0.000 0.803
Tm 0.000 0.000 0.000
In 0.500 0.500 0.096
In 0.500 0.500 0.298
In 0.500 0.500 0.500
In 0.500 0.500 0.702
In 0.500 0.500 0.904
```